! LaSnGe (GGA-PBE, optimized geometry); values from VASP
&SYSTEM
  ibrav = 0, nat = 3, ntyp = 3
/
ATOMIC_SPECIES
La 138.91 La.upf
Sn 118.71 Sn.upf
Ge 72.64 Ge.upf
ATOMIC_POSITIONS crystal
La 0.000 0.000 0.000
Sn 0.667 0.333 0.500
Ge 0.333 0.667 0.500
CELL_PARAMETERS angstrom
4.759 0.000 0.000
-2.380 4.122 0.000
0.000 0.000 4.215
! **ΔH_f (0 K)**: -564 meV per atom
! **SG**: P-6m2 (187)
! **D(E_F)**: 2.2 states/eV per cell